Run A
Al2NiAg: relaxed, PBE-GGA.

Total moment in μB per formula unit: 0.000
Volume in Å³ per atom: 14.3
DOS(E_F) in states/eV/atom: 0.261

Cell lengths 6.1095, 6.1095, 6.1095 Å; angles 90.00, 90.00, 90.00 degrees
Space group Fm-3m (No. 225)
Inequivalent atoms, fractional coordinates:
Al: 0.2500 0.2500 0.2500
Ni: 0.0000 0.0000 0.0000
Ag: 0.0000 0.0000 0.5000



Run B
Al2NiAg: relaxed, PBE-GGA.

Total moment in μB per formula unit: 0.000
Volume in Å³ per atom: 14.7
DOS(E_F) in states/eV/atom: 0.303

Cell lengths 3.0017, 3.5399, 5.5377 Å; angles 90.00, 90.00, 90.00 degrees
Space group Pmm2 (No. 25)
Inequivalent atoms, fractional coordinates:
Al: 0.0000 0.0000 0.0000
Al: 0.5000 0.5000 0.2885
Ni: 0.0000 0.0000 0.4539
Ag: 0.5000 0.5000 0.7600



Run C
Al2NiAg: relaxed, PBE-GGA.

Total moment in μB per formula unit: 0.000
Volume in Å³ per atom: 14.3
DOS(E_F) in states/eV/atom: 0.156

Cell lengths 4.2390, 4.2390, 3.1820 Å; angles 90.00, 90.00, 90.00 degrees
Space group P4/mmm (No. 123)
Inequivalent atoms, fractional coordinates:
Al: 0.0000 0.5000 0.0000
Ni: 0.0000 0.0000 0.5000
Ag: 0.5000 0.5000 0.5000



It is run A that is most stable; the runner-up trails by 16 meV/atom.



Run A
Al2Ni2Ag: relaxed, PBE-GGA.

Total moment in μB per formula unit: 0.000
Volume in Å³ per atom: 14.8
DOS(E_F) in states/eV/atom: 0.246

Cell lengths 3.7394, 3.7394, 10.6160 Å; angles 90.00, 90.00, 90.00 degrees
Space group I4/mmm (No. 139)
Inequivalent atoms, fractional coordinates:
Al: 0.0000 0.5000 0.2500
Ni: 0.0000 0.0000 0.1083
Ag: 0.0000 0.0000 0.5000



Run B
Al2Ni2Ag: relaxed, PBE-GGA.

Total moment in μB per formula unit: 0.000
Volume in Å³ per atom: 13.6
DOS(E_F) in states/eV/atom: 0.476

Cell lengths 7.0296, 7.0296, 2.7539 Å; angles 90.00, 90.00, 90.00 degrees
Space group P4/mbm (No. 127)
Inequivalent atoms, fractional coordinates:
Al: 0.1437 0.3563 0.0000
Ni: 0.1487 0.6487 0.5000
Ag: 0.0000 0.0000 0.0000



It is run B that is most stable; the runner-up trails by 243 meV/atom.



Run A
AlNi3Ag: relaxed, PBE-GGA.

Total moment in μB per formula unit: 0.690
Volume in Å³ per atom: 19.2
DOS(E_F) in states/eV/atom: 1.074

Cell lengths 4.5753, 4.5753, 4.5753 Å; angles 90.00, 90.00, 90.00 degrees
Space group Pm-3m (No. 221)
Inequivalent atoms, fractional coordinates:
Al: 0.0000 0.0000 0.0000
Ni: 0.0000 0.5000 0.5000
Ag: 0.5000 0.5000 0.5000



Run B
AlNi3Ag: relaxed, PBE-GGA.

Total moment in μB per formula unit: 0.000
Volume in Å³ per atom: 15.8
DOS(E_F) in states/eV/atom: 0.132

Cell lengths 4.2892, 4.2892, 4.2892 Å; angles 90.00, 90.00, 90.00 degrees
Space group Pm-3m (No. 221)
Inequivalent atoms, fractional coordinates:
Al: 0.0000 0.0000 0.0000
Ni: 0.0000 0.0000 0.5000
Ag: 0.5000 0.5000 0.5000



It is run B that is most stable; the runner-up trails by 641 meV/atom.